(1)
Density functional theory data (PBE-GGA) for crystalline TaPbCl2 at its relaxed geometry. Values from VASP.

Geometry as Quantum ESPRESSO input:
```
&SYSTEM
  ibrav = 0, nat = 4, ntyp = 3
/
ATOMIC_SPECIES
Ta 180.95 Ta.upf
Pb 207.20 Pb.upf
Cl 35.45 Cl.upf
ATOMIC_POSITIONS crystal
Ta 0.0000 0.0000 0.0000
Pb 0.5000 0.5000 0.5000
Cl 0.2500 0.2500 0.2500
Cl 0.7500 0.7500 0.7500
CELL_PARAMETERS angstrom
0.0000 3.4626 3.4626
3.4626 0.0000 3.4626
3.4626 3.4626 0.0000
```

- energy relative to the lowest polymorph listed for this composition (meV per atom) = 1072.4
- formation energy without anion corrections (eV/atom) = 0.58
- symmetry = Fm-3m, No. 225

---

(2)
Density functional theory data (PBE-GGA) for crystalline Tb12Tl5Rh2 at its relaxed geometry. Values from VASP.

Geometry as Quantum ESPRESSO input:
```
&SYSTEM
  ibrav = 0, nat = 19, ntyp = 3
/
ATOMIC_SPECIES
Tb 158.93 Tb.upf
Tl 204.38 Tl.upf
Rh 102.91 Rh.upf
ATOMIC_POSITIONS crystal
Tb 0.0025 0.0025 0.2387
Tb 0.0756 0.5980 0.9072
Tb 0.1013 0.5992 0.4269
Tb 0.4008 0.8987 0.5731
Tb 0.4020 0.9244 0.0928
Tb 0.4855 0.4855 0.1738
Tb 0.5145 0.5145 0.8262
Tb 0.5980 0.0756 0.9072
Tb 0.5992 0.1013 0.4269
Tb 0.8987 0.4008 0.5731
Tb 0.9244 0.4020 0.0928
Tb 0.9975 0.9975 0.7613
Tl 0.1902 0.1902 0.8392
Tl 0.1986 0.1986 0.3628
Tl 0.5000 0.5000 0.5000
Tl 0.8014 0.8014 0.6372
Tl 0.8098 0.8098 0.1608
Rh 0.2128 0.7872 0.0000
Rh 0.7872 0.2128 0.0000
CELL_PARAMETERS angstrom
8.4813 -3.8427 0.0000
8.4813 3.8427 0.0000
-2.5948 0.0000 9.3877
```

- energy relative to the elements (meV/atom) = -214
- symmetry = C2/m, No. 12

---

(3)
Density functional theory data (PBE-GGA) for crystalline Ac2Pr2IrPt2 at its relaxed geometry. Values from VASP.

Geometry as Quantum ESPRESSO input:
```
&SYSTEM
  ibrav = 0, nat = 7, ntyp = 4
/
ATOMIC_SPECIES
Ac 227.00 Ac.upf
Pr 140.91 Pr.upf
Ir 192.22 Ir.upf
Pt 195.08 Pt.upf
ATOMIC_POSITIONS crystal
Ac 0.0344 0.0344 0.2686
Ac 0.9656 0.9656 0.7314
Pr 0.2851 0.2851 0.2130
Pr 0.7149 0.7149 0.7870
Ir 0.5000 0.5000 0.5000
Pt 0.3808 0.3808 0.9511
Pt 0.6192 0.6192 0.0489
CELL_PARAMETERS angstrom
7.2523 -2.0911 0.0000
7.2523 2.0911 0.0000
-3.8616 0.0000 7.1299
```

- energy relative to the elements (meV/atom) = -818
- symmetry = C2/m, No. 12

---

(4)
Density functional theory data (PBE-GGA) for crystalline Cs3Pu3PaS8 at its relaxed geometry. Values from VASP.

Geometry as Quantum ESPRESSO input:
```
&SYSTEM
  ibrav = 0, nat = 15, ntyp = 4
/
ATOMIC_SPECIES
Cs 132.91 Cs.upf
Pu 244.00 Pu.upf
Pa 231.04 Pa.upf
S 32.06 S.upf
ATOMIC_POSITIONS crystal
Cs 0.0000 0.5000 0.5000
Cs 0.5000 0.0000 0.5000
Cs 0.5000 0.5000 0.0000
Pu 0.0000 0.0000 0.5000
Pu 0.0000 0.5000 0.0000
Pu 0.5000 0.0000 0.0000
Pa 0.5000 0.5000 0.5000
S 0.2254 0.2254 0.2254
S 0.2376 0.7190 0.7190
S 0.2810 0.2810 0.7624
S 0.2810 0.7624 0.2810
S 0.7190 0.2376 0.7190
S 0.7190 0.7190 0.2376
S 0.7624 0.2810 0.2810
S 0.7746 0.7746 0.7746
CELL_PARAMETERS angstrom
4.1172 2.3770 8.1831
-4.1172 2.3770 8.1831
0.0000 -4.7541 8.1831
```

- formation energy without anion corrections (eV/atom) = -1.61
- symmetry = R-3m, No. 166

---

Number 1: final energy -4.23 eV per atom. Number 2: final energy -4.54 eV per atom. Number 3: final energy -6.35 eV per atom. Number 4: final energy -7.48 eV per atom.